## Ca2TcAu (GGA-PBE)

Data for crystalline Ca2TcAu at its relaxed geometry.

Lattice parameters (Å, degrees): 4.9855 4.9855 4.9855 60.00 60.00 60.00
Last column: nearest neighbours and their distance in Å.
Sites, in units of the cell vectors:
Ca1 0.0000 0.0000 0.0000  4 Tc 3.05, 4 Ca 3.05
Ca2 0.2500 0.2500 0.2500  4 Ca 3.05, 4 Au 3.05
Tc1 0.7500 0.7500 0.7500  4 Ca 3.05, 4 Au 3.05
Au1 0.5000 0.5000 0.5000  4 Tc 3.05, 4 Ca 3.05

Summary:
Space group   No. 216
DFT formation energy   30.5 kJ/mol of atoms
Magnetization   1.7 μB/cell

=====

## CaTcTe2Au (GGA-PBE)

Data for crystalline CaTcTe2Au at its relaxed geometry.

Lattice parameters (Å, degrees): 5.0564 5.0564 5.8570 90.00 90.00 90.00
Last column: nearest neighbours and their distance in Å.
Sites, in units of the cell vectors:
Ca1 0.0000 0.0000 0.0000  2 Tc 2.93
Tc1 0.0000 0.0000 0.5000  4 Te 2.53
Te1 0.0000 0.5000 0.5000  2 Tc 2.53
Te2 0.5000 0.0000 0.5000  2 Tc 2.53
Au1 0.5000 0.5000 0.0000  4 Ca 3.58, 8 Te 3.87

Summary:
Space group   No. 123
Energy relative to the elements, uncorrected   152 meV/atom
Magnetization   0.0 μB/cell

=====

## Ca2VTcAu (GGA-PBE)

Data for crystalline Ca2VTcAu at its relaxed geometry.

Lattice parameters (Å, degrees): 5.6050 5.6050 4.3090 90.00 90.00 90.00
Last column: nearest neighbours and their distance in Å.
Sites, in units of the cell vectors:
Ca1 0.0000 0.5000 0.0000  2 Tc 2.80
Ca2 0.5000 0.0000 0.0000  2 Tc 2.80
V1 0.0000 0.0000 0.5000  2 Tc 2.15
Tc1 0.0000 0.0000 0.0000  2 V 2.15
Au1 0.5000 0.5000 0.5000  8 Ca 3.53

Summary:
Space group   No. 123
DFT formation energy   51.9 kJ/mol of atoms
Magnetization   0.9 μB/cell

=====

## CaTe3Au (GGA-PBE)

Data for crystalline CaTe3Au at its relaxed geometry.

Lattice parameters (Å, degrees): 5.7840 5.7840 5.7840 90.00 90.00 90.00
Last column: nearest neighbours and their distance in Å.
Sites, in units of the cell vectors:
Ca1 0.0000 0.0000 0.0000  6 Te 2.89
Te1 0.0000 0.0000 0.5000  2 Ca 2.89
Te2 0.0000 0.5000 0.0000  2 Ca 2.89
Te3 0.5000 0.0000 0.0000  2 Ca 2.89
Au1 0.5000 0.5000 0.5000  12 Te 4.09

Summary:
Space group   No. 221
Energy relative to the elements, uncorrected   427 meV/atom
Magnetization   0.0 μB/cell